1.
Density functional theory data (PBE) for a geometry-optimized RbNdEr4S8 structure.

It has space group R3m (No. 160, hexagonal axes), with a = 8.1935 Å, b = 8.1935 Å, c = 20.6481 Å, α = 90.00°, β = 90.00° and γ = 120.00°. The distinct sites, in fractional coordinates, are Rb at (0.0000, 0.0000, 0.0000), Nd at (0.0000, 0.0000, 0.3644), Er at (0.0000, 0.0000, 0.7440), Er at (0.0114, 0.5057, 0.8711), S at (0.0000, 0.0000, 0.1405), S at (0.0000, 0.0000, 0.6128), S at (0.0138, 0.5069, 0.1238) and S at (0.1883, 0.3767, 0.9423).

The calculation puts the density of states at the Fermi level at 0.00 states/eV/f.u. The raw formation energy comes out at -1887 meV per atom. Its volume is 28.6 A^3/atom. Its total moment is 0.00 μB per cell.


2.
Density functional theory data (PBE) for a geometry-optimized MgSiOs structure.

It has space group P3m1 (No. 156), with a = 2.9490 Å, b = 2.9490 Å, c = 6.3071 Å, α = 90.00°, β = 90.00° and γ = 120.00°. The distinct sites, in fractional coordinates, are Mg at (0.0000, 0.0000, 0.0000), Si at (0.3333, 0.6667, 0.6259) and Os at (0.6667, 0.3333, 0.3527).

The calculation puts the density of states at the Fermi level at 2.57 states/eV/f.u. The raw formation energy comes out at 30 meV per atom. Its volume is 15.8 A^3/atom. Its total moment is 0.00 μB per cell.


3.
Density functional theory data (PBE) for a geometry-optimized BeTl2NiIr structure.

It has space group P4/mmm (No. 123), with a = 4.935 Å, b = 4.935 Å, c = 4.661 Å, α = 90.00°, β = 90.00° and γ = 90.00°. The distinct sites, in fractional coordinates, are Be at (0.000, 0.000, 0.000), Tl at (0.000, 0.500, 0.500), Ni at (0.500, 0.500, 0.500) and Ir at (0.500, 0.500, 0.000).

The calculation puts the density of states at the Fermi level at 3.42 states/eV/f.u. The formation energy is 1.154 eV/atom. Its volume is 22.7 A^3/atom. Its total moment is 1.28 μB per cell. As for the energy above the most stable polymorph in this dataset: 225.2 meV/atom.


4.
Density functional theory data (PBE) for a geometry-optimized TiCoPd2Rh structure.

It has space group P4/mmm (No. 123), with a = 4.523 Å, b = 4.523 Å, c = 4.174 Å, α = 90.00°, β = 90.00° and γ = 90.00°. The distinct sites, in fractional coordinates, are Ti at (0.000, 0.000, 0.000), Co at (0.000, 0.000, 0.500), Pd at (0.000, 0.500, 0.500) and Rh at (0.500, 0.500, 0.000).

The calculation puts the density of states at the Fermi level at 6.10 states/eV/f.u. The formation energy is 0.617 eV/atom. Its volume is 17.1 A^3/atom. Its total moment is 0.87 μB per cell.


5.
Density functional theory data (PBE) for a geometry-optimized Nb2TlCo structure.

It has space group Fm-3m (No. 225), with a = 6.571 Å, b = 6.571 Å, c = 6.571 Å, α = 90.00°, β = 90.00° and γ = 90.00°. The distinct sites, in fractional coordinates, are Nb at (0.250, 0.250, 0.250), Tl at (0.000, 0.000, 0.000) and Co at (0.000, 0.000, 0.500).

The calculation puts the density of states at the Fermi level at 6.53 states/eV/f.u. The formation energy is 0.483 eV/atom. Its volume is 17.7 A^3/atom. Its total moment is 8.51 μB per cell. As for the energy above the most stable polymorph in this dataset: 7.3 meV/atom.


6.
Density functional theory data (PBE) for a geometry-optimized Cs2PbCF6 structure.

It has space group Fm-3m (No. 225), with a = 8.966 Å, b = 8.966 Å, c = 8.966 Å, α = 90.00°, β = 90.00° and γ = 90.00°. The distinct sites, in fractional coordinates, are Cs at (0.250, 0.250, 0.250), Pb at (0.000, 0.000, 0.000), C at (0.000, 0.000, 0.500) and F at (0.000, 0.000, 0.275).

The calculation puts the density of states at the Fermi level at 0.00 states/eV/f.u. The raw formation energy comes out at -1652 meV per atom. Its volume is 18.0 A^3/atom. Its total moment is 0.00 μB per cell.


7.
Density functional theory data (PBE) for a geometry-optimized LiCa2Bi2 structure.

It has space group I4/mmm (No. 139), with a = 5.486 Å, b = 5.486 Å, c = 12.862 Å, α = 90.00°, β = 90.00° and γ = 90.00°. The distinct sites, in fractional coordinates, are Li at (0.000, 0.000, 0.000), Ca at (0.000, 0.500, 0.250) and Bi at (0.000, 0.000, 0.378).

The calculation puts the density of states at the Fermi level at 3.93 states/eV/f.u. The formation energy is -0.338 eV/atom. Its volume is 38.7 A^3/atom. Its total moment is 0.00 μB per cell. As for the energy above the most stable polymorph in this dataset: 337.8 meV/atom.


8.
Density functional theory data (PBE) for a geometry-optimized Al2RuAu structure.

It has space group R3m (No. 160, hexagonal axes), with a = 2.9607 Å, b = 2.9607 Å, c = 24.6240 Å, α = 90.00°, β = 90.00° and γ = 120.00°. The distinct sites, in fractional coordinates, are Al at (0.0000, 0.0000, 0.0000), Al at (0.0000, 0.0000, 0.1805), Ru at (0.0000, 0.0000, 0.5899) and Au at (0.0000, 0.0000, 0.4251).

The calculation puts the density of states at the Fermi level at 2.03 states/eV/f.u. The formation energy is -0.364 eV/atom. Its volume is 15.6 A^3/atom. Its total moment is 0.00 μB per cell.